Record 1
## TbTcNiP2 (PBE)

Data for a relaxed TbTcNiP2 crystal.

Computed properties:
- magnetic moment (μB per atom) = 0.000
- ΔE_f (kJ/mol of atoms) = -86.9
- space-group type = No. 119
- V (A^3/atom) = 15.3

a b c (Å): 5.7366 5.7366 5.7366
angles (deg): 140.27 140.27 57.45
Closest atoms and distances in Å follow each position.
Atoms (fractional coordinates):
Tb 0.0000 0.0000 0.0000  8 P 3.01, 4 Tc 3.18, 4 Ni 3.18
Tc 0.7500 0.2500 0.5000  4 P 2.34
Ni 0.2500 0.7500 0.5000  4 P 2.34
P 0.3788 0.3788 0.0000  2 Ni 2.34, 2 Tc 2.34, 1 P 2.44
P 0.6212 0.6212 0.0000  2 Tc 2.34, 2 Ni 2.34, 1 P 2.44

Record 2
## Cr2TcMoN (PBE)

Data for a relaxed Cr2TcMoN crystal.

Computed properties:
- relative energy among the computed polymorphs (meV per atom) = 0
- magnetic moment (μB per atom) = 0.000
- space-group type = No. 123
- formation energy without anion corrections (eV per atom) = -0.125
- V (A^3/atom) = 12.1

a b c (Å): 3.8540 3.8540 4.0696
angles (deg): 90.00 90.00 90.00
Closest atoms and distances in Å follow each position.
Atoms (fractional coordinates):
Cr 0.0000 0.5000 0.0000  2 N 1.93
Cr 0.5000 0.0000 0.0000  2 N 1.93
Tc 0.0000 0.0000 0.5000  4 Mo 2.73, 8 Cr 2.80
Mo 0.5000 0.5000 0.5000  2 N 2.03
N 0.5000 0.5000 0.0000  4 Cr 1.93, 2 Mo 2.03

Record 3
## DyBiP2Rh5 (PBE)

Data for a relaxed DyBiP2Rh5 crystal.

Computed properties:
- magnetic moment (μB per atom) = 0.000
- ΔE_f (kJ/mol of atoms) = -57.7
- space-group type = No. 123
- V (A^3/atom) = 18.9

a b c (Å): 4.0333 4.0333 10.4755
angles (deg): 90.00 90.00 90.00
Closest atoms and distances in Å follow each position.
Atoms (fractional coordinates):
Dy 0.0000 0.0000 0.0000  4 Rh 2.85
Bi 0.0000 0.0000 0.5000  8 Rh 2.80
P 0.5000 0.5000 0.2148  5 Rh 2.25-2.27
P 0.5000 0.5000 0.7852  5 Rh 2.25-2.27
Rh 0.0000 0.5000 0.3147  2 P 2.27
Rh 0.0000 0.5000 0.6853  2 P 2.27
Rh 0.5000 0.0000 0.3147  2 P 2.27
Rh 0.5000 0.0000 0.6853  2 P 2.27
Rh 0.5000 0.5000 0.0000  2 P 2.25